A plane-wave DFT calculation with PBE was carried out for an optimized crystal structure of TiNiS4.

Output
Volume ... 20.9 Å³ per atom
Magnetic moment ... 0.00 μB per formula unit
Raw total energy ... -34.12 eV for the cell shown

Cell lengths 5.701, 3.367, 6.770 Å; angles 90.00, 105.19, 90.00 degrees
Space group P2/m (No. 10)
Asymmetric unit:
Ti  0.000  0.000  0.000 [1 per cell]
Ni  0.500  0.500  0.000 [1 per cell]
S  0.244  0.500  0.216 [2 per cell]
S  0.291  0.000  0.798 [2 per cell]